Here is a relaxed HfCuTcBi crystal from OQMD. Energies are from GGA-PBE.

a b c (Å): 4.7341 4.7341 4.7341
angles (deg): 60.00 60.00 60.00
With the nearest neighbours (Å) after each atom.
Element x y z (fractional)
Bi 0.0000 0.0000 0.0000  4 Hf 2.90, 4 Cu 2.90
Cu 0.2500 0.2500 0.2500  4 Tc 2.90, 4 Bi 2.90
Hf 0.7500 0.7500 0.7500  4 Tc 2.90, 4 Bi 2.90
Tc 0.5000 0.5000 0.5000  4 Hf 2.90, 4 Cu 2.90

Values from the calculation:
Raw total energy ... -6.58 eV/atom
Distance to the lowest polymorph of the same formula ... 244 meV/atom
Symmetry ... No. 216